An optimized crystal structure of TlPd3O, computed with PBE.

Cell lengths 4.3337, 4.3337, 4.3337 Å; angles 90.00, 90.00, 90.00 degrees
Fractional coordinates of all 5 atoms:
Tl 0.0000 0.0000 0.0000
Pd 0.0000 0.5000 0.5000
Pd 0.5000 0.0000 0.5000
Pd 0.5000 0.5000 0.0000
O 0.5000 0.5000 0.5000

Values from the calculation:
V (Å³/f.u.): 81.4
DOS(E_F) (states/eV per atom): 1.27
Formation energy without anion corrections (eV per atom): -0.02
Final energy (hartree per atom): -0.169
Excess energy over the best structure of this formula in the dataset (eV per atom): 0.0000


An optimized crystal structure of Tl2PdO, computed with PBE.

Cell lengths 6.1475, 6.1475, 6.1475 Å; angles 115.37, 115.37, 98.23 degrees
Fractional coordinates of all 8 atoms:
Tl 0.0814 0.6250 0.9564
Tl 0.3750 0.3314 0.4564
Tl 0.6686 0.1250 0.0436
Tl 0.8750 0.9186 0.5436
Pd 0.2500 0.7500 0.5000
Pd 0.5000 0.5000 0.0000
O 0.0000 0.0000 0.0000
O 0.7500 0.2500 0.5000

Values from the calculation:
V (Å³/f.u.): 86.9
DOS(E_F) (states/eV per atom): 0.04
Formation energy without anion corrections (eV per atom): -0.28
Final energy (hartree per atom): -0.147
Excess energy over the best structure of this formula in the dataset (eV per atom): 0.0000


An optimized crystal structure of Tl3PdO3, computed with PBE.

Cell lengths 8.6849, 8.6849, 8.6849 Å; angles 109.47, 109.47, 109.47 degrees
Fractional coordinates of all 28 atoms:
Tl 0.0044 0.0089 0.7544
Tl 0.0044 0.4956 0.2500
Tl 0.0089 0.7544 0.0044
Tl 0.2500 0.0044 0.4956
Tl 0.2500 0.7456 0.7544
Tl 0.4911 0.4956 0.7456
Tl 0.4956 0.2500 0.0044
Tl 0.4956 0.7456 0.4911
Tl 0.7456 0.4911 0.4956
Tl 0.7456 0.7544 0.2500
Tl 0.7544 0.0044 0.0089
Tl 0.7544 0.2500 0.7456
Pd 0.0000 0.2500 0.5000
Pd 0.2500 0.2500 0.2500
Pd 0.2500 0.5000 0.0000
Pd 0.5000 0.0000 0.2500
O 0.0322 0.0643 0.2822
O 0.0322 0.4678 0.7500
O 0.0643 0.2822 0.0322
O 0.2178 0.2822 0.7500
O 0.2178 0.4357 0.4678
O 0.2822 0.0322 0.0643
O 0.2822 0.7500 0.2178
O 0.4357 0.4678 0.2178
O 0.4678 0.2178 0.4357
O 0.4678 0.7500 0.0322
O 0.7500 0.0322 0.4678
O 0.7500 0.2178 0.2822

Values from the calculation:
V (Å³/f.u.): 126.1
DOS(E_F) (states/eV per atom): 0.40
Formation energy without anion corrections (eV per atom): -0.43
Final energy (hartree per atom): -0.159


An optimized crystal structure of TlPd2O3, computed with PBE.

Cell lengths 6.9395, 6.9395, 6.9395 Å; angles 53.27, 53.27, 53.27 degrees
Fractional coordinates of all 12 atoms:
Tl 0.1876 0.1876 0.1876
Tl 0.8124 0.8124 0.8124
Pd 0.0000 0.0000 0.0000
Pd 0.0000 0.5000 0.5000
Pd 0.5000 0.0000 0.5000
Pd 0.5000 0.5000 0.0000
O 0.2241 0.2241 0.7215
O 0.2241 0.7215 0.2241
O 0.2785 0.7759 0.7759
O 0.7215 0.2241 0.2241
O 0.7759 0.2785 0.7759
O 0.7759 0.7759 0.2785

Values from the calculation:
V (Å³/f.u.): 99.5
Formation energy without anion corrections (eV per atom): -0.48
Final energy (hartree per atom): -0.187
Excess energy over the best structure of this formula in the dataset (eV per atom): 0.0000


An optimized crystal structure of Tl2PdO4, computed with PBE.

Cell lengths 6.2157, 6.2157, 3.1720 Å; angles 90.00, 90.00, 125.40 degrees
Fractional coordinates of all 7 atoms:
Tl 0.1671 0.8329 0.0000
Tl 0.8329 0.1671 0.0000
Pd 0.5000 0.5000 0.5000
O 0.0000 0.5000 0.5000
O 0.2640 0.2640 0.0000
O 0.5000 0.0000 0.5000
O 0.7360 0.7360 0.0000

Values from the calculation:
V (Å³/f.u.): 99.9
DOS(E_F) (states/eV per atom): 0.56
Formation energy without anion corrections (eV per atom): -0.40
Final energy (hartree per atom): -0.171


An optimized crystal structure of TlPd2O4, computed with PBE.

Cell lengths 6.3825, 6.3825, 6.2916 Å; angles 113.34, 113.34, 61.99 degrees
Fractional coordinates of all 14 atoms:
Tl 0.1022 0.1022 0.3832
Tl 0.8978 0.8978 0.6168
Pd 0.0000 0.5000 0.0000
Pd 0.5000 0.0000 0.0000
Pd 0.5000 0.5000 0.0000
Pd 0.5000 0.5000 0.5000
O 0.1934 0.1934 0.1281
O 0.2624 0.6553 0.2212
O 0.2850 0.2850 0.8183
O 0.3447 0.7376 0.7788
O 0.6553 0.2624 0.2212
O 0.7150 0.7150 0.1817
O 0.7376 0.3447 0.7788
O 0.8066 0.8066 0.8719

Values from the calculation:
V (Å³/f.u.): 100.3
DOS(E_F) (states/eV per atom): 0.18
Formation energy without anion corrections (eV per atom): -0.43
Final energy (hartree per atom): -0.187


An optimized crystal structure of TlPd4O8, computed with PBE.

Cell lengths 6.4215, 6.4215, 6.4215 Å; angles 60.00, 60.00, 60.00 degrees
Fractional coordinates of all 13 atoms:
Tl 0.0000 0.0000 0.0000
Pd 0.3773 0.3773 0.3773
Pd 0.3773 0.3773 0.8680
Pd 0.3773 0.8680 0.3773
Pd 0.8680 0.3773 0.3773
O 0.1474 0.1474 0.1474
O 0.1474 0.1474 0.5578
O 0.1474 0.5578 0.1474
O 0.1869 0.6044 0.6044
O 0.5578 0.1474 0.1474
O 0.6044 0.1869 0.6044
O 0.6044 0.6044 0.1869
O 0.6044 0.6044 0.6044

Values from the calculation:
V (Å³/f.u.): 187.2
DOS(E_F) (states/eV per atom): 0.62
Formation energy without anion corrections (eV per atom): -0.35
Final energy (hartree per atom): -0.190
Excess energy over the best structure of this formula in the dataset (eV per atom): 0.0485


An optimized crystal structure of Tl3PdO, computed with PBE.

Cell lengths 5.2987, 5.2987, 5.2987 Å; angles 90.00, 90.00, 90.00 degrees
Fractional coordinates of all 5 atoms:
Tl 0.0000 0.0000 0.5000
Tl 0.0000 0.5000 0.0000
Tl 0.5000 0.0000 0.0000
Pd 0.0000 0.0000 0.0000
O 0.5000 0.5000 0.5000

Values from the calculation:
V (Å³/f.u.): 148.8
DOS(E_F) (states/eV per atom): 1.46
Formation energy without anion corrections (eV per atom): 0.20
Final energy (hartree per atom): -0.120
Excess energy over the best structure of this formula in the dataset (eV per atom): 0.1519


An optimized crystal structure of TlPd4O8, computed with PBE.

Cell lengths 7.4654, 7.4654, 7.4654 Å; angles 49.50, 49.50, 49.50 degrees
Fractional coordinates of all 13 atoms:
Tl 0.0000 0.0000 0.0000
Pd 0.0000 0.0000 0.5000
Pd 0.0000 0.5000 0.0000
Pd 0.5000 0.0000 0.0000
Pd 0.5000 0.5000 0.5000
O 0.2143 0.7202 0.7202
O 0.2171 0.2171 0.2171
O 0.2798 0.2798 0.7857
O 0.2798 0.7857 0.2798
O 0.7202 0.2143 0.7202
O 0.7202 0.7202 0.2143
O 0.7829 0.7829 0.7829
O 0.7857 0.2798 0.2798

Values from the calculation:
V (Å³/f.u.): 221.1
DOS(E_F) (states/eV per atom): 0.60
Formation energy without anion corrections (eV per atom): -0.40
Final energy (hartree per atom): -0.192
Excess energy over the best structure of this formula in the dataset (eV per atom): 0.0000


An optimized crystal structure of TlPdO2, computed with PBE.

Cell lengths 6.6216, 6.6216, 6.6216 Å; angles 28.98, 28.98, 28.98 degrees
Fractional coordinates of all 4 atoms:
Tl 0.0000 0.0000 0.0000
Pd 0.1709 0.1709 0.1709
O 0.5561 0.5561 0.5561
O 0.7883 0.7883 0.7883

Values from the calculation:
V (Å³/f.u.): 60.3
DOS(E_F) (states/eV per atom): 0.82
Formation energy without anion corrections (eV per atom): -0.35
Final energy (hartree per atom): -0.173


An optimized crystal structure of TlPdO2, computed with PBE.

Cell lengths 6.5223, 6.5223, 6.5223 Å; angles 131.84, 131.84, 70.49 degrees
Fractional coordinates of all 8 atoms:
Tl 0.0000 0.0000 0.0000
Tl 0.7500 0.2500 0.5000
Pd 0.2500 0.7500 0.5000
Pd 0.5000 0.5000 0.0000
O 0.2339 0.6250 0.1089
O 0.3750 0.4839 0.6089
O 0.5161 0.1250 0.8911
O 0.8750 0.7661 0.3911

Values from the calculation:
V (Å³/f.u.): 75.5
DOS(E_F) (states/eV per atom): 0.98
Formation energy without anion corrections (eV per atom): -0.19
Final energy (hartree per atom): -0.168


An optimized crystal structure of Tl12Pd3O5, computed with PBE.

Cell lengths 13.5458, 13.5458, 13.5458 Å; angles 109.47, 109.47, 109.47 degrees
Fractional coordinates of all 80 atoms:
Tl 0.0392 0.2175 0.1267
Tl 0.0392 0.3217 0.9125
Tl 0.0875 0.6267 0.4093
Tl 0.0875 0.9608 0.6783
Tl 0.0907 0.7175 0.6783
Tl 0.0907 0.8733 0.4125
Tl 0.1267 0.0392 0.2175
Tl 0.1267 0.5875 0.9093
Tl 0.1783 0.2175 0.5907
Tl 0.1783 0.4608 0.5875
Tl 0.2175 0.1267 0.0392
Tl 0.2175 0.5907 0.1783
Tl 0.2825 0.3217 0.9093
Tl 0.2825 0.4608 0.3733
Tl 0.3217 0.9093 0.2825
Tl 0.3217 0.9125 0.0392
Tl 0.3733 0.2825 0.4608
Tl 0.3733 0.5907 0.9125
Tl 0.4093 0.0875 0.6267
Tl 0.4093 0.8217 0.7825
Tl 0.4125 0.0907 0.8733
Tl 0.4125 0.8217 0.5392
Tl 0.4608 0.3733 0.2825
Tl 0.4608 0.5875 0.1783
Tl 0.5392 0.4125 0.8217
Tl 0.5392 0.6267 0.7175
Tl 0.5875 0.1783 0.4608
Tl 0.5875 0.9093 0.1267
Tl 0.5907 0.1783 0.2175
Tl 0.5907 0.9125 0.3733
Tl 0.6267 0.4093 0.0875
Tl 0.6267 0.7175 0.5392
Tl 0.6783 0.0875 0.9608
Tl 0.6783 0.0907 0.7175
Tl 0.7175 0.5392 0.6267
Tl 0.7175 0.6783 0.0907
Tl 0.7825 0.4093 0.8217
Tl 0.7825 0.8733 0.9608
Tl 0.8217 0.5392 0.4125
Tl 0.8217 0.7825 0.4093
Tl 0.8733 0.4125 0.0907
Tl 0.8733 0.9608 0.7825
Tl 0.9093 0.1267 0.5875
Tl 0.9093 0.2825 0.3217
Tl 0.9125 0.0392 0.3217
Tl 0.9125 0.3733 0.5907
Tl 0.9608 0.6783 0.0875
Tl 0.9608 0.7825 0.8733
Pd 0.1250 0.2500 0.3750
Pd 0.1250 0.3750 0.7500
Pd 0.2500 0.3750 0.1250
Pd 0.2500 0.8750 0.6250
Pd 0.3750 0.1250 0.2500
Pd 0.3750 0.7500 0.1250
Pd 0.6250 0.2500 0.8750
Pd 0.6250 0.8750 0.7500
Pd 0.7500 0.1250 0.3750
Pd 0.7500 0.6250 0.8750
Pd 0.8750 0.6250 0.2500
Pd 0.8750 0.7500 0.6250
O 0.0000 0.0000 0.0000
O 0.0000 0.0000 0.5000
O 0.0000 0.5000 0.0000
O 0.0000 0.5000 0.5000
O 0.1250 0.7500 0.8750
O 0.1250 0.8750 0.2500
O 0.2500 0.1250 0.8750
O 0.2500 0.6250 0.3750
O 0.3750 0.2500 0.6250
O 0.3750 0.6250 0.7500
O 0.5000 0.0000 0.0000
O 0.5000 0.0000 0.5000
O 0.5000 0.5000 0.0000
O 0.5000 0.5000 0.5000
O 0.6250 0.3750 0.2500
O 0.6250 0.7500 0.3750
O 0.7500 0.3750 0.6250
O 0.7500 0.8750 0.1250
O 0.8750 0.1250 0.7500
O 0.8750 0.2500 0.1250

Values from the calculation:
V (Å³/f.u.): 478.3
DOS(E_F) (states/eV per atom): 0.49
Formation energy without anion corrections (eV per atom): -0.31
Final energy (hartree per atom): -0.138


An optimized crystal structure of TlPdO3, computed with PBE.

Cell lengths 7.0700, 5.4920, 7.2148 Å; angles 90.00, 112.67, 90.00 degrees
Fractional coordinates of all 20 atoms:
Tl 0.1131 0.2454 0.1280
Tl 0.1131 0.2546 0.6280
Tl 0.8869 0.7454 0.3720
Tl 0.8869 0.7546 0.8720
Pd 0.4154 0.7395 0.8864
Pd 0.4154 0.7605 0.3864
Pd 0.5846 0.2395 0.6136
Pd 0.5846 0.2605 0.1136
O 0.1246 0.6491 0.2235
O 0.1246 0.8509 0.7235
O 0.3051 0.0931 0.4483
O 0.3051 0.4069 0.9483
O 0.4237 0.5551 0.6354
O 0.4237 0.9449 0.1354
O 0.5763 0.0551 0.8646
O 0.5763 0.4449 0.3646
O 0.6949 0.5931 0.0517
O 0.6949 0.9069 0.5517
O 0.8754 0.1491 0.2765
O 0.8754 0.3509 0.7765

Values from the calculation:
V (Å³/f.u.): 64.6
DOS(E_F) (states/eV per atom): 0.28
Formation energy without anion corrections (eV per atom): -0.47
Final energy (hartree per atom): -0.182


An optimized crystal structure of TlPdO2, computed with PBE.

Cell lengths 3.3472, 3.3472, 6.4045 Å; angles 105.21, 105.21, 60.05 degrees
Fractional coordinates of all 4 atoms:
Tl 0.0000 0.0000 0.0000
Pd 0.5000 0.5000 0.5000
O 0.2186 0.2186 0.6555
O 0.7814 0.7814 0.3445

Values from the calculation:
V (Å³/f.u.): 59.2
DOS(E_F) (states/eV per atom): 0.66
Formation energy without anion corrections (eV per atom): -0.37
Final energy (hartree per atom): -0.174


An optimized crystal structure of TlPd3O, computed with PBE.

Cell lengths 5.0972, 5.0972, 5.0972 Å; angles 90.00, 90.00, 90.00 degrees
Fractional coordinates of all 5 atoms:
Tl 0.0000 0.0000 0.0000
Pd 0.0000 0.0000 0.5000
Pd 0.0000 0.5000 0.0000
Pd 0.5000 0.0000 0.0000
O 0.5000 0.5000 0.5000

Values from the calculation:
V (Å³/f.u.): 132.4
DOS(E_F) (states/eV per atom): 2.40
Formation energy without anion corrections (eV per atom): 1.43
Final energy (hartree per atom): -0.116
Excess energy over the best structure of this formula in the dataset (eV per atom): 1.4499


An optimized crystal structure of Tl3PdO, computed with PBE.

Cell lengths 4.9329, 4.9329, 4.9329 Å; angles 90.00, 90.00, 90.00 degrees
Fractional coordinates of all 5 atoms:
Tl 0.0000 0.0000 0.5000
Tl 0.0000 0.5000 0.0000
Tl 0.5000 0.0000 0.0000
Pd 0.5000 0.5000 0.5000
O 0.0000 0.0000 0.0000

Values from the calculation:
V (Å³/f.u.): 120.0
DOS(E_F) (states/eV per atom): 0.34
Formation energy without anion corrections (eV per atom): 0.05
Final energy (hartree per atom): -0.125
Excess energy over the best structure of this formula in the dataset (eV per atom): 0.0000


An optimized crystal structure of TlPd3O4, computed with PBE.

Cell lengths 5.9283, 5.9283, 5.9283 Å; angles 90.00, 90.00, 90.00 degrees
Fractional coordinates of all 16 atoms:
Tl 0.0000 0.0000 0.0000
Tl 0.5000 0.5000 0.5000
Pd 0.0000 0.2500 0.5000
Pd 0.0000 0.7500 0.5000
Pd 0.2500 0.5000 0.0000
Pd 0.5000 0.0000 0.2500
Pd 0.5000 0.0000 0.7500
Pd 0.7500 0.5000 0.0000
O 0.2500 0.2500 0.2500
O 0.2500 0.2500 0.7500
O 0.2500 0.7500 0.2500
O 0.2500 0.7500 0.7500
O 0.7500 0.2500 0.2500
O 0.7500 0.2500 0.7500
O 0.7500 0.7500 0.2500
O 0.7500 0.7500 0.7500

Values from the calculation:
V (Å³/f.u.): 104.2
DOS(E_F) (states/eV per atom): 0.52
Formation energy without anion corrections (eV per atom): -0.44
Final energy (hartree per atom): -0.190


An optimized crystal structure of Tl2PdO, computed with PBE.

Cell lengths 4.7851, 4.7851, 4.7851 Å; angles 60.00, 60.00, 60.00 degrees
Fractional coordinates of all 4 atoms:
Tl 0.2500 0.2500 0.2500
Tl 0.7500 0.7500 0.7500
Pd 0.0000 0.0000 0.0000
O 0.5000 0.5000 0.5000

Values from the calculation:
V (Å³/f.u.): 77.5
DOS(E_F) (states/eV per atom): 0.82
Formation energy without anion corrections (eV per atom): 0.09
Final energy (hartree per atom): -0.134
Excess energy over the best structure of this formula in the dataset (eV per atom): 0.3660


An optimized crystal structure of TlPdO2, computed with PBE.

Cell lengths 4.1774, 4.1774, 4.1774 Å; angles 60.00, 60.00, 60.00 degrees
Fractional coordinates of all 4 atoms:
Tl 0.0000 0.0000 0.0000
Pd 0.5000 0.5000 0.5000
O 0.2500 0.2500 0.2500
O 0.7500 0.7500 0.7500

Values from the calculation:
V (Å³/f.u.): 51.5
DOS(E_F) (states/eV per atom): 0.70
Formation energy without anion corrections (eV per atom): 0.07
Final energy (hartree per atom): -0.158